Here is a relaxed Tm2Hf2In3 crystal from Alexandria via LeMat-Bulk. Energies are from GGA-PBE.

a b c (Å): 4.6838 22.4855 3.2004
angles (deg): 90.00 90.00 90.00
Closest atoms and distances in Å follow each position.
Space group Cmmm (No. 65)
Asymmetric unit:
Tm (0.0000, 0.0741, 0.0000) x4  1 Hf 3.08, 3 Tm 3.20-3.33, 8 In 3.29-3.39
Hf (0.0000, 0.2113, 0.0000) x4  4 Hf 2.92-3.20, 1 Tm 3.08, 4 In 3.09
In (0.0000, 0.3436, 0.5000) x4  6 Hf 3.09-3.38, 2 In 3.20, 4 Tm 3.39
In (0.0000, 0.5000, 0.5000) x2  4 In 3.20-3.52, 8 Tm 3.29

## Properties
**Energy**: -0.39920 Ry/atom
**M_tot**: 0.00 μB/f.u.
**N(E_F)**: 13.178 states/eV per cell
**Calculated volume**: 337.1 Å³/cell
**Density**: 10.2 Mg/m³
**Formation energy**: -136.4 meV/atom

Here is a relaxed TmHf2In crystal from Alexandria via LeMat-Bulk. Energies are from GGA-PBE.

a b c (Å): 4.5101 4.5101 4.5551
angles (deg): 90.00 90.00 90.00
Closest atoms and distances in Å follow each position.
Space group P4/mmm (No. 123)
Asymmetric unit:
Tm (0.0000, 0.0000, 0.0000) x1  4 In 3.19, 8 Hf 3.21
Hf (0.0000, 0.5000, 0.5000) x2  4 Hf 3.19, 4 In 3.21, 4 Tm 3.21
In (0.5000, 0.5000, 0.0000) x1  4 Tm 3.19, 8 Hf 3.21

## Properties
**Energy**: -0.50561 Ry/atom
**M_tot**: 0.00 μB/f.u.
**N(E_F)**: 4.291 states/eV per cell
**Calculated volume**: 92.7 Å³/cell
**Density**: 11.5 Mg/m³
**Formation energy**: -100.0 meV/atom
**Distance to the lowest polymorph of the same formula**: 8.5 kJ per mole of atoms

Here is a relaxed Tm2HfIn crystal from Alexandria via LeMat-Bulk. Energies are from GGA-PBE.

a b c (Å): 3.3926 3.3926 31.6227
angles (deg): 90.00 90.00 120.00
Closest atoms and distances in Å follow each position.
Space group R-3m (No. 166, hexagonal axes)
Asymmetric unit:
Tm (0.0000, 0.0000, 0.2490) x6  3 Hf 3.26, 3 In 3.31, 6 Tm 3.39
Hf (0.0000, 0.0000, 0.5000) x3  6 Tm 3.26, 6 Hf 3.39
In (0.0000, 0.0000, 0.0000) x3  6 Tm 3.31, 6 In 3.39

## Properties
**Energy**: -0.40469 Ry/atom
**M_tot**: 0.00 μB/f.u.
**N(E_F)**: 12.701 states/eV per cell
**Calculated volume**: 315.2 Å³/cell
**Density**: 10.0 Mg/m³
**Formation energy**: -97.4 meV/atom
**Distance to the lowest polymorph of the same formula**: 7.7 kJ per mole of atoms

Here is a relaxed Tm2HfIn3 crystal from Alexandria via LeMat-Bulk. Energies are from GGA-PBE.

a b c (Å): 3.2792 3.2792 13.4064
angles (deg): 90.00 90.00 90.00
Closest atoms and distances in Å follow each position.
Space group P4/mmm (No. 123)
Asymmetric unit:
Tm (0.0000, 0.0000, 0.1732) x2  8 In 3.25-3.28, 4 Tm 3.28
Hf (0.0000, 0.0000, 0.5000) x1  8 In 3.13, 4 Hf 3.28
In (0.5000, 0.5000, 0.0000) x1  4 In 3.28, 8 Tm 3.28
In (0.5000, 0.5000, 0.3428) x2  4 Hf 3.13, 4 Tm 3.25, 4 In 3.28

## Properties
**Energy**: -0.35459 Ry/atom
**M_tot**: 0.63 μB/f.u.
**N(E_F)**: 4.352 states/eV per cell
**Calculated volume**: 144.2 Å³/cell
**Density**: 9.9 Mg/m³
**Formation energy**: -305.8 meV/atom

Here is a relaxed Tm4HfIn5 crystal from Alexandria via LeMat-Bulk. Energies are from GGA-PBE.

a b c (Å): 3.3263 3.3263 22.3207
angles (deg): 90.00 90.00 90.00
Closest atoms and distances in Å follow each position.
Space group P4/mmm (No. 123)
Asymmetric unit:
Tm (0.0000, 0.0000, 0.1019) x2  8 In 3.27, 4 Tm 3.33
Tm (0.0000, 0.0000, 0.3059) x2  8 In 3.26-3.28, 4 Tm 3.33
Hf (0.0000, 0.0000, 0.5000) x1  8 In 3.14, 4 Hf 3.33
In (0.5000, 0.5000, 0.0000) x1  8 Tm 3.27, 4 In 3.33
In (0.5000, 0.5000, 0.2037) x2  8 Tm 3.27-3.28, 4 In 3.33
In (0.5000, 0.5000, 0.4069) x2  4 Hf 3.14, 4 Tm 3.26, 4 In 3.33

## Properties
**Energy**: -0.33082 Ry/atom
**M_tot**: 1.02 μB/f.u.
**N(E_F)**: 7.330 states/eV per cell
**Calculated volume**: 247.0 Å³/cell
**Density**: 9.6 Mg/m³
**Formation energy**: -347.9 meV/atom

Here is a relaxed TmHfIn2 crystal from Alexandria via LeMat-Bulk. Energies are from GGA-PBE.

a b c (Å): 4.6340 4.6340 4.3687
angles (deg): 90.00 90.00 90.00
Closest atoms and distances in Å follow each position.
Space group P4/mmm (No. 123)
Asymmetric unit:
Tm (0.0000, 0.0000, 0.0000) x1  8 In 3.18, 4 Hf 3.28
Hf (0.5000, 0.5000, 0.0000) x1  8 In 3.18, 4 Tm 3.28
In (0.0000, 0.5000, 0.5000) x2  4 Hf 3.18, 4 Tm 3.18, 4 In 3.28

## Properties
**Energy**: -0.38170 Ry/atom
**M_tot**: 0.00 μB/f.u.
**N(E_F)**: 3.505 states/eV per cell
**Calculated volume**: 93.8 Å³/cell
**Density**: 10.2 Mg/m³
**Formation energy**: -217.8 meV/atom
**Distance to the lowest polymorph of the same formula**: 0.0 kJ per mole of atoms

Here is a relaxed Tm2Hf2In7 crystal from Alexandria via LeMat-Bulk. Energies are from GGA-PBE.

a b c (Å): 8.7621 10.4349 6.8740
angles (deg): 90.00 90.00 90.00
Closest atoms and distances in Å follow each position.
Space group Cmmm (No. 65)
Asymmetric unit:
Tm (0.1831, 0.0000, 0.0000) x4  6 In 3.08-3.15, 1 Tm 3.21
Hf (0.0000, 0.2849, 0.5000) x4  7 In 2.92-2.98
In (0.0000, 0.0000, 0.5000) x2  2 Hf 2.97
In (0.0000, 0.5000, 0.2159) x4  1 In 2.97, 2 Hf 2.98, 2 Tm 3.15
In (0.2500, 0.2500, 0.2236) x8  2 Hf 2.92, 1 In 3.07, 2 Tm 3.08

## Properties
**Energy**: -0.30440 Ry/atom
**M_tot**: 0.00 μB/f.u.
**N(E_F)**: 14.305 states/eV per cell
**Calculated volume**: 628.5 Å³/cell
**Density**: 7.9 Mg/m³
**Formation energy**: 223.8 meV/atom

Here is a relaxed Hf2UIn crystal from Alexandria via LeMat-Bulk. Energies are from GGA-PBE.

a b c (Å): 3.1922 3.1922 31.0145
angles (deg): 90.00 90.00 120.00
Closest atoms and distances in Å follow each position.
Space group R-3m (No. 166, hexagonal axes)
Asymmetric unit:
Hf (0.0000, 0.0000, 0.2504) x6  3 In 3.16, 3 U 3.18, 6 Hf 3.19
U (0.0000, 0.0000, 0.5000) x3  6 Hf 3.18, 6 U 3.19
In (0.0000, 0.0000, 0.0000) x3  6 Hf 3.16, 6 In 3.19

## Properties
**Energy**: -0.61450 Ry/atom
**M_tot**: 1.33 μB/f.u.
**N(E_F)**: 23.007 states/eV per cell
**Calculated volume**: 273.7 Å³/cell
**Density**: 12.9 Mg/m³
**Formation energy**: 122.6 meV/atom
**Distance to the lowest polymorph of the same formula**: 1.2 kJ per mole of atoms

Here is a relaxed Hf2UIn crystal from Alexandria via LeMat-Bulk. Energies are from GGA-PBE.

a b c (Å): 4.6577 4.6577 4.1156
angles (deg): 90.00 90.00 90.00
Closest atoms and distances in Å follow each position.
Space group P4/mmm (No. 123)
Asymmetric unit:
Hf (0.0000, 0.5000, 0.0000) x2  4 In 3.11, 4 U 3.11, 4 Hf 3.29
U (0.0000, 0.0000, 0.5000) x1  8 Hf 3.11, 4 In 3.29
In (0.5000, 0.5000, 0.5000) x1  8 Hf 3.11, 4 U 3.29

## Properties
**Energy**: -0.61540 Ry/atom
**M_tot**: 2.47 μB/f.u.
**N(E_F)**: 7.789 states/eV per cell
**Calculated volume**: 89.3 Å³/cell
**Density**: 13.2 Mg/m³
**Formation energy**: 110.4 meV/atom
**Distance to the lowest polymorph of the same formula**: 0.0 kJ per mole of atoms

Here is a relaxed Hf2UIn crystal from Alexandria via LeMat-Bulk. Energies are from GGA-PBE.

a b c (Å): 7.0971 7.0971 7.0971
angles (deg): 90.00 90.00 90.00
Closest atoms and distances in Å follow each position.
Space group Fm-3m (No. 225)
Asymmetric unit:
Hf (0.2500, 0.2500, 0.2500) x8  4 In 3.07, 4 U 3.07
U (0.0000, 0.0000, 0.0000) x4  8 Hf 3.07
In (0.0000, 0.0000, 0.5000) x4  8 Hf 3.07

## Properties
**Energy**: -0.60504 Ry/atom
**M_tot**: 3.17 μB/f.u.
**N(E_F)**: 27.425 states/eV per cell
**Calculated volume**: 357.5 Å³/cell
**Density**: 13.2 Mg/m³
**Formation energy**: 251.4 meV/atom
**Distance to the lowest polymorph of the same formula**: 13.6 kJ per mole of atoms

Which of these has the lowest energy?
number 9

Number 6 is which compound?
TmHfIn2